Entry 1:
Material: TePb4S3
Method: DFT, PBE
State: optimized geometry

Values from the calculation:
Crystal system   monoclinic
Total magnetization   0.0 μB per cell
Formation energy from raw total energies   -473 meV per atom
Space-group type   No. 8

abc: 7.5560 7.5560 4.3370
angles: 90.03 90.03 108.95
Atoms (fractional coordinates):
Te 0.0000 0.0000 0.0000
Pb 0.2339 0.7182 0.0014
Pb 0.2617 0.2617 0.5007
Pb 0.7182 0.2339 0.0014
Pb 0.7277 0.7277 0.5006
S 0.0065 0.5055 0.5005
S 0.5003 0.5003 0.0000
S 0.5055 0.0065 0.5005


Entry 2:
Material: TePbS2
Method: DFT, PBE
State: optimized geometry

Values from the calculation:
Crystal system   triclinic
Total magnetization   0.0 μB per cell
Formation energy from raw total energies   -158 meV per atom
Space-group type   No. 1

abc: 4.4370 7.3457 7.4994
angles: 78.13 78.18 89.77
Atoms (fractional coordinates):
Te 0.0000 0.0000 0.0000
Te 0.4926 0.4990 0.3050
Pb 0.1812 0.4922 0.8488
Pb 0.8065 0.0039 0.4859
S 0.2887 0.2519 0.5845
S 0.3189 0.7397 0.4904
S 0.6226 0.2427 0.0551
S 0.7021 0.8044 0.8652


Entry 3:
Material: TePbS3
Method: DFT, PBE
State: optimized geometry

Values from the calculation:
Crystal system   monoclinic
Total magnetization   0.0 μB per cell
Formation energy from raw total energies   -73 meV per atom
Space-group type   No. 12

abc: 8.9986 8.9986 8.4437
angles: 98.86 98.86 24.79
Atoms (fractional coordinates):
Te 0.0784 0.0784 0.2072
Te 0.9216 0.9216 0.7928
Pb 0.2888 0.2888 0.2527
Pb 0.7112 0.7112 0.7473
S 0.1663 0.1663 0.4499
S 0.3165 0.3165 0.9019
S 0.4909 0.4909 0.2645
S 0.5091 0.5091 0.7355
S 0.6835 0.6835 0.0981
S 0.8337 0.8337 0.5501


Entry 4:
Material: TePb6S5
Method: DFT, PBE
State: optimized geometry

Values from the calculation:
Crystal system   monoclinic
Total magnetization   0.0 μB per cell
Formation energy from raw total energies   -493 meV per atom
Space-group type   No. 12

abc: 7.4805 7.4805 7.4680
angles: 99.67 99.67 120.18
Atoms (fractional coordinates):
Te 0.0000 0.0000 0.0000
Pb 0.0860 0.4363 0.2553
Pb 0.2604 0.2604 0.7366
Pb 0.4363 0.0860 0.2553
Pb 0.5637 0.9140 0.7447
Pb 0.7396 0.7396 0.2634
Pb 0.9140 0.5637 0.7447
S 0.1595 0.8405 0.5000
S 0.3299 0.6701 0.0000
S 0.5000 0.5000 0.5000
S 0.6701 0.3299 0.0000
S 0.8405 0.1595 0.5000


Entry 5:
Material: TePbS2
Method: DFT, PBE
State: optimized geometry

Values from the calculation:
Crystal system   trigonal
Total magnetization   0.0 μB per cell
Formation energy from raw total energies   14 meV per atom
Space-group type   No. 160

abc: 7.7326 7.7326 7.7326
angles: 33.07 33.07 33.07
Atoms (fractional coordinates):
Te 0.0000 0.0000 0.0000
Pb 0.8308 0.8308 0.8308
S 0.4409 0.4409 0.4409
S 0.6345 0.6345 0.6345


Entry 6:
Material: TePb2S6
Method: DFT, PBE
State: optimized geometry

Values from the calculation:
Crystal system   tetragonal
Total magnetization   0.0 μB per cell
Formation energy from raw total energies   189 meV per atom
Space-group type   No. 136

abc: 6.2771 6.2771 12.3221
angles: 90.00 90.00 90.00
Atoms (fractional coordinates):
Te 0.0000 0.0000 0.0000
Te 0.5000 0.5000 0.5000
Pb 0.0000 0.0000 0.3343
Pb 0.0000 0.0000 0.6657
Pb 0.5000 0.5000 0.1657
Pb 0.5000 0.5000 0.8343
S 0.1894 0.1894 0.1629
S 0.1894 0.1894 0.8371
S 0.2016 0.2016 0.5000
S 0.2984 0.7016 0.0000
S 0.3106 0.6894 0.3371
S 0.3106 0.6894 0.6629
S 0.6894 0.3106 0.3371
S 0.6894 0.3106 0.6629
S 0.7016 0.2984 0.0000
S 0.7984 0.7984 0.5000
S 0.8106 0.8106 0.1629
S 0.8106 0.8106 0.8371


Number 1 is which compound?
TePb4S3


total magnetization of number 6 (TePb2S6)?
0.0 μB per cell


Look up the total magnetization of the second one.
0.0 μB per cell